Below is a relaxed structure of SrTmGe2Au2, with properties calculated at the GGA-PBE level.

M_tot: 0.0 Bohr magnetons per cell
Energy: -4.389 eV/atom
Calculated formation energy: -0.73 eV/atom

Cell lengths 4.5092, 4.5092, 7.8780 Å; angles 90.00, 90.00, 120.00 degrees
Space group P-3m1 (No. 164)
Asymmetric unit:
Sr 0.0000 0.0000 0.0000 [1 per cell]
Tm 0.0000 0.0000 0.5000 [1 per cell]
Ge 0.3333 0.6667 0.7172 [2 per cell]
Au 0.3333 0.6667 0.2927 [2 per cell]